The following is a GGA-PBE calculation of an optimized crystal structure of ZnPtRh2, from the Alexandria database.

Cell: 8.8995 8.8995 8.8995 Å, 17.87 17.87 17.87°
Positions (direct):
Pt 0.7500 0.7500 0.7500
Rh 0.9970 0.9970 0.9970
Rh 0.5030 0.5030 0.5030
Zn 0.2500 0.2500 0.2500

Properties
Energy of formation   -2.72 kcal/mol of atoms
Symmetry   No. 166
E_tot   -5.622 eV/atom
N(E_F)   6.59 states/eV/cell

=====

The following is a GGA-PBE calculation of an optimized crystal structure of Ca2MgCrFe, from the Alexandria database.

Cell: 5.5143 4.3629 5.5143 Å, 90.00 90.00 90.00°
Positions (direct):
Mg 0.5000 0.5000 0.5000
Ca 0.5000 0.0000 0.0000
Ca 0.0000 0.0000 0.5000
Fe 0.0000 0.0000 0.0000
Cr 0.0000 0.5000 0.0000

Properties
Energy of formation   12.38 kcal/mol of atoms
Symmetry   No. 123
E_tot   -4.200 eV/atom
N(E_F)   5.89 states/eV/cell

=====

The following is a GGA-PBE calculation of an optimized crystal structure of Tl2NiH6Pt, from the Alexandria database.

Cell: 4.7999 4.7993 6.2280 Å, 67.30 67.30 89.94°
Positions (direct):
H 0.1472 0.1472 0.7064
H 0.2465 0.7535 0.0000
H 0.2466 0.2466 0.0003
H 0.8528 0.8528 0.2936
H 0.7534 0.7534 0.9997
H 0.7535 0.2465 0.0000
Tl 0.2501 0.7502 0.4998
Tl 0.7499 0.2498 0.5002
Ni 0.0000 0.0000 0.0000
Pt 0.5000 0.5000 0.0000

Properties
Symmetry   No. 69
E_tot   -3.570 eV/atom
N(E_F)   0.69 states/eV/cell

=====

The following is a GGA-PBE calculation of an optimized crystal structure of YMoN3, from the Alexandria database.

Cell: 3.5295 3.5295 10.9085 Å, 80.69 80.69 90.00°
Positions (direct):
N 0.5858 0.9008 0.1984
N 0.2158 0.9008 0.1984
N 0.3170 0.3170 0.3660
N 0.0992 0.7842 0.8016
N 0.6830 0.6830 0.6340
N 0.0992 0.4142 0.8016
Y 0.2500 0.7500 0.5000
Y 0.0000 0.0000 0.0000
Mo 0.6316 0.1316 0.7368
Mo 0.8684 0.3684 0.2632

Properties
Formation energy from raw total energies   -0.29 eV per atom
Symmetry   No. 119
E_tot   -8.747 eV/atom
N(E_F)   1.75 states/eV/cell

=====

The following is a GGA-PBE calculation of an optimized crystal structure of Zn4Pd5Pt4, from the Alexandria database.

Cell: 4.0458 7.2161 7.2161 Å, 85.49 73.72 73.72°
Positions (direct):
Zn 0.7701 0.3659 0.0938
Zn 0.1361 0.0938 0.6341
Zn 0.8639 0.9062 0.3659
Zn 0.2299 0.6341 0.9062
Pt 0.3871 0.7044 0.5215
Pt 0.6129 0.2956 0.4785
Pt 0.9086 0.4785 0.7044
Pt 0.0914 0.5215 0.2956
Pd 0.4357 0.2547 0.8739
Pd 0.6904 0.8739 0.7453
Pd 0.5643 0.7453 0.1261
Pd 0.0000 0.0000 0.0000
Pd 0.3096 0.1261 0.2547

Properties
Energy of formation   -8.72 kcal/mol of atoms
Symmetry   No. 87
E_tot   -4.626 eV/atom
N(E_F)   10.52 states/eV/cell

=====

The following is a GGA-PBE calculation of an optimized crystal structure of Ac5Ru2Au, from the Alexandria database.

Cell: 8.2484 8.2484 9.3578 Å, 116.15 116.15 90.00°
Positions (direct):
Ru 0.1397 0.3603 0.0000
Ru 0.6397 0.1397 0.0000
Ru 0.3603 0.8603 0.0000
Ru 0.8603 0.6397 0.0000
Au 0.7500 0.7500 0.5000
Au 0.2500 0.2500 0.5000
Ac 0.0000 0.0000 0.0000
Ac 0.7037 0.2037 0.7329
Ac 0.0292 0.5292 0.7329
Ac 0.9708 0.4708 0.2671
Ac 0.7963 0.9708 0.2671
Ac 0.2963 0.7963 0.2671
Ac 0.4708 0.2963 0.2671
Ac 0.5292 0.7037 0.7329
Ac 0.2037 0.0292 0.7329
Ac 0.5000 0.5000 0.0000

Properties
Energy of formation   -7.84 kcal/mol of atoms
Symmetry   No. 140
E_tot   -5.637 eV/atom
N(E_F)   13.04 states/eV/cell

=====

The following is a GGA-PBE calculation of an optimized crystal structure of Tb4Dy3Ru4, from the Alexandria database.

Cell: 3.5336 8.8914 9.4705 Å, 118.00 100.75 90.00°
Positions (direct):
Tb 0.6645 0.4737 0.3291
Tb 0.3355 0.1446 0.6709
Tb 0.3355 0.5263 0.6709
Tb 0.6645 0.8554 0.3291
Ru 0.2591 0.7591 0.5183
Ru 0.5000 0.2249 0.0000
Ru 0.7409 0.2409 0.4817
Ru 0.5000 0.7751 0.0000
Dy 0.9031 0.9031 0.8062
Dy 0.0969 0.0969 0.1938
Dy 0.0000 0.5000 0.0000

Properties
Energy of formation   -6.72 kcal/mol of atoms
Symmetry   No. 71
E_tot   -6.603 eV/atom
N(E_F)   5.89 states/eV/cell

=====

The following is a GGA-PBE calculation of an optimized crystal structure of CsY2Tc, from the Alexandria database.

Cell: 8.2325 8.2325 8.2273 Å, 59.98 59.98 90.00°
Positions (direct):
Tc 0.2500 0.7500 0.5000
Tc 0.5000 0.5000 0.0000
Y 0.3756 0.1250 0.2500
Y 0.3744 0.6250 0.2500
Y 0.8750 0.6256 0.7500
Y 0.3750 0.6244 0.7500
Cs 0.7500 0.2500 0.5000
Cs 0.0000 0.0000 0.0000

Properties
Energy of formation   13.78 kcal/mol of atoms
Energy above the most stable polymorph in this dataset   0.0 meV/atom
Symmetry   No. 122
E_tot   -5.440 eV/atom
N(E_F)   12.41 states/eV/cell

=====

The following is a GGA-PBE calculation of an optimized crystal structure of La2PrMg, from the Alexandria database.

Cell: 5.0623 5.1327 5.1327 Å, 90.00 90.00 90.00°
Positions (direct):
Pr 0.5000 0.5000 0.5000
La 0.0000 0.0000 0.5000
La 0.0000 0.5000 0.0000
Mg 0.5000 0.0000 0.0000

Properties
Energy of formation   -0.38 kcal/mol of atoms
Energy above the most stable polymorph in this dataset   31.3 meV/atom
Symmetry   No. 123
E_tot   -4.074 eV/atom
N(E_F)   7.11 states/eV/cell

=====

The following is a GGA-PBE calculation of an optimized crystal structure of GaSe2F, from the Alexandria database.

Cell: 7.3644 7.3644 7.3644 Å, 30.58 30.58 30.58°
Positions (direct):
Se 0.8978 0.8978 0.8978
Se 0.1022 0.1022 0.1022
Ga 0.5000 0.5000 0.5000
F 0.0000 0.0000 0.0000

Properties
Formation energy from raw total energies   -0.52 eV per atom
Energy above the most stable polymorph in this dataset   0.0 meV/atom
Symmetry   No. 166
E_tot   -3.483 eV/atom
N(E_F)   0.11 states/eV/cell

=====

The following is a GGA-PBE calculation of an optimized crystal structure of BiSeNO2, from the Alexandria database.

Cell: 4.1619 4.1619 4.4825 Å, 90.00 90.00 90.00°
Positions (direct):
Bi 0.0000 0.0000 0.0000
N 0.0000 0.0000 0.5000
O 0.0000 0.5000 0.0000
O 0.5000 0.0000 0.0000
Se 0.5000 0.5000 0.5000

Properties
Formation energy from raw total energies   0.76 eV per atom
Symmetry   No. 123
E_tot   -4.359 eV/atom
N(E_F)   2.65 states/eV/cell

=====

The following is a GGA-PBE calculation of an optimized crystal structure of Cu3SbRh, from the Alexandria database.

Cell: 4.6257 4.6257 4.6257 Å, 90.00 90.00 90.00°
Positions (direct):
Cu 0.5000 0.0000 0.0000
Cu 0.0000 0.5000 0.0000
Cu 0.0000 0.0000 0.5000
Rh 0.0000 0.0000 0.0000
Sb 0.5000 0.5000 0.5000

Properties
Formation energy from raw total energies   0.87 eV per atom
Energy above the most stable polymorph in this dataset   0.0 meV/atom
Symmetry   No. 221
E_tot   -3.878 eV/atom
N(E_F)   4.89 states/eV/cell

=====

Number 1: density 13.356 Mg/m³. Number 2: density 2.657 Mg/m³. Number 3: density 9.232 Mg/m³. Number 4: density 5.696 Mg/m³. Number 5: density 13.465 Mg/m³. Number 6: density 10.233 Mg/m³. Number 7: density 9.877 Mg/m³. Number 8: density 3.445 Mg/m³. Number 9: density 5.516 Mg/m³. Number 10: density 4.469 Mg/m³. Number 11: density 7.142 Mg/m³. Number 12: density 6.968 Mg/m³.